[1]
First-principles (GGA-PBE) data for a relaxed FeSbRhI2 crystal, as listed in Alexandria via LeMat-Bulk.

Computed properties:
- Formation energy (no corrections): 0.77 eV/atom
- ΔE to the lowest computed polymorph: 0 meV per atom

a = 5.523 Å, b = 5.523 Å, c = 5.015 Å
α = 90.00°, β = 90.00°, γ = 90.00°
Site moments in Bohr magnetons follow the coordinates.
Sites, in units of the cell vectors:
I (0.000, 0.500, 0.000)  0.05
I (0.500, 0.000, 0.000)  0.05
Sb (0.000, 0.000, 0.500)  -0.03
Rh (0.000, 0.000, 0.000)  -0.04
Fe (0.500, 0.500, 0.500)  3.38

=====

[2]
First-principles (GGA-PBE) data for a relaxed FeTe2RhI crystal, as listed in Alexandria via LeMat-Bulk.

Computed properties:
- Formation energy (no corrections): 0.78 eV/atom
- ΔE to the lowest computed polymorph: 0 meV per atom

a = 5.213 Å, b = 5.213 Å, c = 5.385 Å
α = 90.00°, β = 90.00°, γ = 90.00°
Site moments in Bohr magnetons follow the coordinates.
Sites, in units of the cell vectors:
I (0.000, 0.000, 0.500)  0.06
Te (0.000, 0.500, 0.000)  0.07
Te (0.500, 0.000, 0.000)  0.07
Rh (0.000, 0.000, 0.000)  0.00
Fe (0.500, 0.500, 0.500)  3.39

=====

[3]
First-principles (GGA-PBE) data for a relaxed FeRh2WI crystal, as listed in Alexandria via LeMat-Bulk.

Computed properties:
- Formation energy (no corrections): 1.57 eV/atom

a = 4.747 Å, b = 5.261 Å, c = 4.747 Å
α = 90.00°, β = 90.00°, γ = 90.00°
Site moments in Bohr magnetons follow the coordinates.
Sites, in units of the cell vectors:
I (0.000, 0.500, 0.000)  0.01
Rh (0.000, 0.000, 0.500)  -0.01
Rh (0.500, 0.000, 0.000)  -0.01
Fe (0.500, 0.500, 0.500)  3.21
W (0.000, 0.000, 0.000)  -0.16

=====

[4]
First-principles (GGA-PBE) data for a relaxed Fe3RuI crystal, as listed in Alexandria via LeMat-Bulk.

Computed properties:
- Formation energy (no corrections): 1.30 eV/atom
- ΔE to the lowest computed polymorph: 0 meV per atom

a = 4.712 Å, b = 4.712 Å, c = 4.712 Å
α = 90.00°, β = 90.00°, γ = 90.00°
Site moments in Bohr magnetons follow the coordinates.
Sites, in units of the cell vectors:
I (0.500, 0.500, 0.500)  0.13
Ru (0.000, 0.000, 0.000)  0.80
Fe (0.000, 0.500, 0.000)  3.19
Fe (0.000, 0.000, 0.500)  3.39
Fe (0.500, 0.000, 0.000)  2.68